VASP calculation (PBE-GGA) on a relaxed structure of Rb2BeBr7.

Cell lengths 8.031, 8.031, 8.031 Å; angles 119.99, 119.99, 90.02 degrees
Positions (direct):
1 Rb 0.250 0.750 0.500
2 Rb 0.750 0.250 0.500
3 Be 0.000 0.000 0.000
4 Br 0.200 0.200 0.401
5 Br 0.200 0.800 0.000
6 Br 0.275 0.275 0.000
7 Br 0.500 0.500 0.000
8 Br 0.725 0.725 0.000
9 Br 0.800 0.200 0.000
10 Br 0.800 0.800 0.599

Output
**DOS(E_F)**: 9.155 states/eV per cell
**Space-group type**: I4/mmm
**Formation energy without anion corrections**: -0.827 eV per atom
**Energy**: -2.565 eV per atom